Entry P
! Ni5Pt2, relaxed, DFT PBE; values from VASP
! DOS(E_F): 13.0 states/eV/f.u.
! Calculated density: 13.028 Mg/m³
! Size of the total moment: 0.61 μB per atom
&SYSTEM
  ibrav = 0, nat = 14, ntyp = 2
/
ATOMIC_SPECIES
Ni 58.69 Ni.upf
Pt 195.08 Pt.upf
CELL_PARAMETERS angstrom
5.802 -2.231 0.000
5.802 2.231 0.000
-0.365 0.000 6.730
ATOMIC_POSITIONS crystal
Ni 0.018 0.684 0.037
Ni 0.115 0.456 0.683
Ni 0.168 0.832 0.750
Ni 0.316 0.982 0.463
Ni 0.456 0.115 0.183
Ni 0.544 0.885 0.817
Ni 0.684 0.018 0.537
Ni 0.832 0.168 0.250
Ni 0.885 0.544 0.317
Ni 0.982 0.316 0.963
Pt 0.249 0.597 0.395
Pt 0.403 0.751 0.105
Pt 0.597 0.249 0.895
Pt 0.751 0.403 0.605

---

Entry Q
! Ni5Pt2, relaxed, DFT PBE; values from VASP
! DOS(E_F): 11.0 states/eV/f.u.
! Calculated density: 13.068 Mg/m³
! Size of the total moment: 0.60 μB per atom
&SYSTEM
  ibrav = 0, nat = 7, ntyp = 2
/
ATOMIC_SPECIES
Ni 58.69 Ni.upf
Pt 195.08 Pt.upf
CELL_PARAMETERS angstrom
4.073 -1.855 0.000
4.073 1.855 0.000
-0.876 0.000 5.750
ATOMIC_POSITIONS crystal
Ni 0.000 0.000 0.000
Ni 0.137 0.137 0.429
Ni 0.428 0.428 0.297
Ni 0.572 0.572 0.703
Ni 0.863 0.863 0.571
Pt 0.289 0.289 0.846
Pt 0.711 0.711 0.154

---

Most stable: entry Q

---

Entry P
! Ni4Pt5, relaxed, DFT PBE; values from VASP
! DOS(E_F): 14.8 states/eV/f.u.
! Calculated density: 16.199 Mg/m³
! Size of the total moment: 0.52 μB per atom
&SYSTEM
  ibrav = 0, nat = 9, ntyp = 2
/
ATOMIC_SPECIES
Ni 58.69 Ni.upf
Pt 195.08 Pt.upf
CELL_PARAMETERS angstrom
4.265 -1.889 0.000
4.265 1.889 0.000
-2.581 0.000 7.699
ATOMIC_POSITIONS crystal
Ni 0.165 0.165 0.056
Ni 0.166 0.166 0.388
Ni 0.834 0.834 0.612
Ni 0.835 0.835 0.944
Pt 0.175 0.175 0.724
Pt 0.494 0.494 0.161
Pt 0.500 0.500 0.500
Pt 0.506 0.506 0.839
Pt 0.825 0.825 0.276

---

Entry Q
! Ni4Pt5, relaxed, DFT PBE; values from VASP
! DOS(E_F): 14.7 states/eV/f.u.
! Calculated density: 16.145 Mg/m³
! Size of the total moment: 0.52 μB per atom
&SYSTEM
  ibrav = 0, nat = 9, ntyp = 2
/
ATOMIC_SPECIES
Ni 58.69 Ni.upf
Pt 195.08 Pt.upf
CELL_PARAMETERS angstrom
4.676 0.000 0.000
0.774 4.614 0.000
1.544 0.459 5.769
ATOMIC_POSITIONS crystal
Ni 0.000 0.000 0.000
Ni 0.113 0.222 0.574
Ni 0.568 0.113 0.785
Ni 0.786 0.542 0.893
Pt 0.223 0.434 0.110
Pt 0.335 0.677 0.684
Pt 0.457 0.884 0.213
Pt 0.670 0.324 0.345
Pt 0.896 0.776 0.463

---

Entry R
! Ni4Pt5, relaxed, DFT PBE; values from VASP
! DOS(E_F): 14.5 states/eV/f.u.
! Calculated density: 15.981 Mg/m³
! Size of the total moment: 0.55 μB per atom
&SYSTEM
  ibrav = 0, nat = 18, ntyp = 2
/
ATOMIC_SPECIES
Ni 58.69 Ni.upf
Pt 195.08 Pt.upf
CELL_PARAMETERS angstrom
7.438 0.000 0.000
-3.719 6.442 0.000
0.000 0.000 5.249
ATOMIC_POSITIONS crystal
Ni 0.000 0.000 0.000
Ni 0.000 0.000 0.500
Ni 0.000 0.347 0.250
Ni 0.000 0.653 0.750
Ni 0.347 0.000 0.250
Ni 0.347 0.347 0.750
Ni 0.653 0.000 0.750
Ni 0.653 0.653 0.250
Pt 0.000 0.313 0.750
Pt 0.000 0.687 0.250
Pt 0.313 0.000 0.750
Pt 0.313 0.313 0.250
Pt 0.333 0.667 0.000
Pt 0.333 0.667 0.500
Pt 0.667 0.333 0.000
Pt 0.667 0.333 0.500
Pt 0.687 0.000 0.250
Pt 0.687 0.687 0.750

---

Most stable: entry P

---

Entry P
! Ni7Pt5, relaxed, DFT PBE; values from VASP
! DOS(E_F): 17.6 states/eV/f.u.
! Calculated density: 14.611 Mg/m³
! Size of the total moment: 0.55 μB per atom
&SYSTEM
  ibrav = 0, nat = 12, ntyp = 2
/
ATOMIC_SPECIES
Ni 58.69 Ni.upf
Pt 195.08 Pt.upf
CELL_PARAMETERS angstrom
4.569 0.000 0.000
0.000 7.935 0.000
-1.602 0.000 4.345
ATOMIC_POSITIONS crystal
Ni 0.000 0.000 0.000
Ni 0.000 0.162 0.500
Ni 0.000 0.332 0.000
Ni 0.000 0.660 0.000
Ni 0.000 0.830 0.500
Ni 0.500 0.330 0.500
Ni 0.500 0.497 0.000
Pt 0.000 0.485 0.500
Pt 0.500 0.003 0.500
Pt 0.500 0.178 0.000
Pt 0.500 0.657 0.500
Pt 0.500 0.828 0.000

---

Entry Q
! Ni7Pt5, relaxed, DFT PBE; values from VASP
! DOS(E_F): 16.7 states/eV/f.u.
! Calculated density: 14.479 Mg/m³
! Size of the total moment: 0.49 μB per atom
&SYSTEM
  ibrav = 0, nat = 12, ntyp = 2
/
ATOMIC_SPECIES
Ni 58.69 Ni.upf
Pt 195.08 Pt.upf
CELL_PARAMETERS angstrom
3.989 -2.221 0.000
3.989 2.221 0.000
-2.668 0.000 8.973
ATOMIC_POSITIONS crystal
Ni 0.000 0.000 0.000
Ni 0.076 0.076 0.732
Ni 0.173 0.173 0.504
Ni 0.425 0.425 0.746
Ni 0.575 0.575 0.254
Ni 0.827 0.827 0.496
Ni 0.924 0.924 0.268
Pt 0.240 0.240 0.248
Pt 0.329 0.329 0.982
Pt 0.500 0.500 0.500
Pt 0.671 0.671 0.018
Pt 0.760 0.760 0.752

---

Entry R
! Ni7Pt5, relaxed, DFT PBE; values from VASP
! DOS(E_F): 18.7 states/eV/f.u.
! Calculated density: 14.545 Mg/m³
! Size of the total moment: 0.54 μB per atom
&SYSTEM
  ibrav = 0, nat = 12, ntyp = 2
/
ATOMIC_SPECIES
Ni 58.69 Ni.upf
Pt 195.08 Pt.upf
CELL_PARAMETERS angstrom
2.629 -3.760 0.000
2.629 3.760 0.000
0.000 0.000 8.004
ATOMIC_POSITIONS crystal
Ni 0.000 0.000 0.000
Ni 0.000 0.000 0.340
Ni 0.000 0.000 0.660
Ni 0.000 0.500 0.502
Ni 0.000 0.500 0.829
Ni 0.500 0.000 0.171
Ni 0.500 0.000 0.498
Pt 0.000 0.500 0.170
Pt 0.500 0.000 0.830
Pt 0.500 0.500 0.000
Pt 0.500 0.500 0.338
Pt 0.500 0.500 0.662

---

Entry S
! Ni7Pt5, relaxed, DFT PBE; values from VASP
! DOS(E_F): 19.1 states/eV/f.u.
! Calculated density: 14.678 Mg/m³
! Size of the total moment: 0.53 μB per atom
&SYSTEM
  ibrav = 0, nat = 12, ntyp = 2
/
ATOMIC_SPECIES
Ni 58.69 Ni.upf
Pt 195.08 Pt.upf
CELL_PARAMETERS angstrom
7.701 0.000 0.000
0.000 2.696 0.000
-2.811 0.000 7.554
ATOMIC_POSITIONS crystal
Ni 0.000 0.000 0.000
Ni 0.000 0.000 0.306
Ni 0.000 0.000 0.694
Ni 0.236 0.500 0.237
Ni 0.237 0.500 0.920
Ni 0.763 0.500 0.080
Ni 0.764 0.500 0.763
Pt 0.218 0.500 0.573
Pt 0.497 0.000 0.164
Pt 0.500 0.000 0.500
Pt 0.503 0.000 0.836
Pt 0.782 0.500 0.427

---

Most stable: entry P

---

Entry P
! Ni7Pt5, relaxed, DFT PBE; values from VASP
! DOS(E_F): 19.7 states/eV/f.u.
! Calculated density: 14.608 Mg/m³
! Size of the total moment: 0.57 μB per atom
&SYSTEM
  ibrav = 0, nat = 12, ntyp = 2
/
ATOMIC_SPECIES
Ni 58.69 Ni.upf
Pt 195.08 Pt.upf
CELL_PARAMETERS angstrom
5.328 0.000 0.000
1.340 5.738 0.000
2.624 1.242 5.155
ATOMIC_POSITIONS crystal
Ni 0.000 0.000 0.000
Ni 0.080 0.318 0.180
Ni 0.241 0.999 0.515
Ni 0.324 0.322 0.676
Ni 0.415 0.657 0.842
Ni 0.753 0.997 0.508
Ni 0.836 0.320 0.673
Pt 0.158 0.659 0.338
Pt 0.491 0.003 0.991
Pt 0.584 0.314 0.181
Pt 0.653 0.661 0.360
Pt 0.927 0.659 0.840

---

Entry Q
! Ni7Pt5, relaxed, DFT PBE; values from VASP
! DOS(E_F): 18.7 states/eV/f.u.
! Calculated density: 14.585 Mg/m³
! Size of the total moment: 0.53 μB per atom
&SYSTEM
  ibrav = 0, nat = 12, ntyp = 2
/
ATOMIC_SPECIES
Ni 58.69 Ni.upf
Pt 195.08 Pt.upf
CELL_PARAMETERS angstrom
7.407 0.000 0.000
0.000 2.691 0.000
-0.079 0.000 7.918
ATOMIC_POSITIONS crystal
Ni 0.000 0.000 0.000
Ni 0.003 0.000 0.657
Ni 0.260 0.500 0.498
Ni 0.503 0.000 0.653
Ni 0.510 0.000 0.341
Ni 0.741 0.500 0.497
Ni 0.752 0.500 0.171
Pt 0.246 0.500 0.818
Pt 0.254 0.500 0.174
Pt 0.513 0.000 0.002
Pt 0.765 0.500 0.821
Pt 0.990 0.000 0.339

---

Entry R
! Ni7Pt5, relaxed, DFT PBE; values from VASP
! DOS(E_F): 19.0 states/eV/f.u.
! Calculated density: 14.626 Mg/m³
! Size of the total moment: 0.60 μB per atom
&SYSTEM
  ibrav = 0, nat = 12, ntyp = 2
/
ATOMIC_SPECIES
Ni 58.69 Ni.upf
Pt 195.08 Pt.upf
CELL_PARAMETERS angstrom
3.723 0.000 0.000
0.000 5.332 0.000
0.000 0.000 7.928
ATOMIC_POSITIONS crystal
Ni 0.000 0.000 0.000
Ni 0.000 0.500 0.326
Ni 0.000 0.500 0.674
Ni 0.500 0.251 0.160
Ni 0.500 0.251 0.840
Ni 0.500 0.749 0.160
Ni 0.500 0.749 0.840
Pt 0.000 0.000 0.315
Pt 0.000 0.000 0.685
Pt 0.000 0.500 0.000
Pt 0.500 0.256 0.500
Pt 0.500 0.744 0.500

---

Most stable: entry R